(1)
Below is TaAlAs2 after structural relaxation, with properties calculated at the GGA-PBE level.

Formation enthalpy at 0 K, kJ/mol of formula units: 172

a = 6.581 Å, b = 6.581 Å, c = 6.581 Å
α = 90.00°, β = 90.00°, γ = 90.00°
Space group F-43m (No. 216)
Inequivalent atoms, fractional coordinates:
Ta 0.000 0.000 0.000 [4 per cell]
Al 0.250 0.250 0.250 [4 per cell]
As 0.000 0.000 0.500 [4 per cell]
As 0.250 0.250 0.750 [4 per cell]

(2)
Below is TaAlAs4 after structural relaxation, with properties calculated at the GGA-PBE level.

Formation enthalpy at 0 K, kJ/mol of formula units: 358

a = 7.700 Å, b = 7.700 Å, c = 7.700 Å
α = 90.00°, β = 90.00°, γ = 90.00°
Space group F-43m (No. 216)
Inequivalent atoms, fractional coordinates:
Ta 0.000 0.000 0.000 [4 per cell]
Al 0.250 0.250 0.750 [4 per cell]
As 0.126 0.126 0.374 [16 per cell]

(3)
Below is TaAlAs2 after structural relaxation, with properties calculated at the GGA-PBE level.

Formation enthalpy at 0 K, kJ/mol of formula units: -54

a = 3.384 Å, b = 3.384 Å, c = 6.044 Å
α = 90.00°, β = 90.00°, γ = 90.00°
Space group P4/mmm (No. 123)
Inequivalent atoms, fractional coordinates:
Ta 0.000 0.000 0.000 [1 per cell]
Al 0.000 0.000 0.500 [1 per cell]
As 0.500 0.500 0.233 [2 per cell]

(4)
Below is TaAlAs2 after structural relaxation, with properties calculated at the GGA-PBE level.

Formation enthalpy at 0 K, kJ/mol of formula units: -72

a = 3.377 Å, b = 3.363 Å, c = 6.189 Å
α = 90.00°, β = 100.09°, γ = 90.00°
Space group P2/m (No. 10)
Inequivalent atoms, fractional coordinates:
Ta 0.000 0.000 0.000 [1 per cell]
Al 0.000 0.000 0.500 [1 per cell]
As 0.434 0.500 0.766 [2 per cell]